(1)
{
  "formula": "Cs4Er3USe8",
  "functional": "GGA-PBE",
  "state": "optimized geometry",
  "cell": [[4.2552, 2.4567, 8.3774], [-4.2552, 2.4567, 8.3774], [0.0000, -4.9135, 8.3774]],
  "species": ["Cs", "Cs", "Cs", "Cs", "Er", "Er", "Er", "U", "Se", "Se", "Se", "Se", "Se", "Se", "Se", "Se"],
  "fractional_positions": [[0.0000, 0.0000, 0.0000], [0.0000, 0.5000, 0.5000], [0.5000, 0.0000, 0.5000], [0.5000, 0.5000, 0.0000], [0.0000, 0.0000, 0.5000], [0.0000, 0.5000, 0.0000], [0.5000, 0.0000, 0.0000], [0.5000, 0.5000, 0.5000], [0.2242, 0.7304, 0.7304], [0.2279, 0.2279, 0.2279], [0.2696, 0.2696, 0.7758], [0.2696, 0.7758, 0.2696], [0.7304, 0.2242, 0.7304], [0.7304, 0.7304, 0.2242], [0.7721, 0.7721, 0.7721], [0.7758, 0.2696, 0.2696]],
  "dos_at_fermi_per_ev_atom": 0.645,
  "final_energy_ev_per_atom": -5.0900
}

(2)
{
  "formula": "Cs3YEr2Se6",
  "functional": "GGA-PBE",
  "state": "optimized geometry",
  "cell": [[3.6774, -6.3692, 0.0000], [3.6774, 6.3692, 0.0000], [-2.4515, 0.0000, 8.3673]],
  "species": ["Cs", "Cs", "Cs", "Y", "Er", "Er", "Se", "Se", "Se", "Se", "Se", "Se"],
  "fractional_positions": [[0.0000, 0.0000, 0.0000], [0.3337, 0.6663, 0.0000], [0.6663, 0.3337, 0.0000], [0.5000, 0.5000, 0.5000], [0.1667, 0.8333, 0.5000], [0.8333, 0.1667, 0.5000], [0.1027, 0.4384, 0.3153], [0.2258, 0.2258, 0.6846], [0.4384, 0.1027, 0.3153], [0.5616, 0.8973, 0.6847], [0.7742, 0.7742, 0.3154], [0.8973, 0.5616, 0.6847]],
  "dos_at_fermi_per_ev_atom": 0.000,
  "final_energy_ev_per_atom": -4.9790
}

(3)
{
  "formula": "Cs3Y2ErSe6",
  "functional": "GGA-PBE",
  "state": "optimized geometry",
  "cell": [[3.6881, -6.3884, 0.0000], [3.6881, 6.3884, 0.0000], [-2.4578, 0.0000, 8.3704]],
  "species": ["Cs", "Cs", "Cs", "Y", "Y", "Er", "Se", "Se", "Se", "Se", "Se", "Se"],
  "fractional_positions": [[0.0000, 0.0000, 0.0000], [0.3326, 0.6674, 0.0000], [0.6674, 0.3326, 0.0000], [0.1666, 0.8334, 0.5000], [0.8334, 0.1666, 0.5000], [0.5000, 0.5000, 0.5000], [0.1074, 0.4383, 0.3148], [0.2309, 0.2309, 0.6855], [0.4383, 0.1074, 0.3148], [0.5617, 0.8926, 0.6852], [0.7691, 0.7691, 0.3145], [0.8926, 0.5617, 0.6852]],
  "dos_at_fermi_per_ev_atom": 0.000,
  "final_energy_ev_per_atom": -5.1438
}

(4)
{
  "formula": "CsErSiTe4",
  "functional": "GGA-PBE",
  "state": "optimized geometry",
  "cell": [[7.1209, 0.0000, 0.0000], [0.0000, 7.6596, 0.0000], [-3.4402, 0.0000, 9.8657]],
  "species": ["Cs", "Cs", "Er", "Er", "Si", "Si", "Te", "Te", "Te", "Te", "Te", "Te", "Te", "Te"],
  "fractional_positions": [[0.2347, 0.2500, 0.0546], [0.7653, 0.7500, 0.9454], [0.2276, 0.2500, 0.5485], [0.7724, 0.7500, 0.4515], [0.2146, 0.7500, 0.3394], [0.7854, 0.2500, 0.6606], [0.0235, 0.5071, 0.6974], [0.0235, 0.9929, 0.6974], [0.4146, 0.7500, 0.1817], [0.4430, 0.7500, 0.5797], [0.5570, 0.2500, 0.4203], [0.5854, 0.2500, 0.8183], [0.9765, 0.0071, 0.3026], [0.9765, 0.4929, 0.3026]],
  "final_energy_ev_per_atom": -4.1553
}

(5)
{
  "formula": "CsSm2Er",
  "functional": "GGA-PBE",
  "state": "optimized geometry",
  "cell": [[1.8392, 1.0619, 13.2527], [-1.8392, 1.0619, 13.2527], [0.0000, -2.1237, 13.2527]],
  "species": ["Cs", "Sm", "Sm", "Er"],
  "fractional_positions": [[0.0000, 0.0000, 0.0000], [0.0960, 0.0960, 0.0960], [0.9040, 0.9040, 0.9040], [0.5000, 0.5000, 0.5000]],
  "dos_at_fermi_per_ev_atom": 1.004,
  "delta_e_f_ev_per_fu": 1.2,
  "final_energy_ev_per_atom": -3.4171
}

(6)
{
  "formula": "Cs3Sm3ErTe8",
  "functional": "GGA-PBE",
  "state": "optimized geometry",
  "cell": [[4.4909, 2.5928, 9.2357], [-4.4909, 2.5928, 9.2357], [0.0000, -5.1856, 9.2357]],
  "species": ["Cs", "Cs", "Cs", "Sm", "Sm", "Sm", "Er", "Te", "Te", "Te", "Te", "Te", "Te", "Te", "Te"],
  "fractional_positions": [[0.0000, 0.5000, 0.5000], [0.5000, 0.0000, 0.5000], [0.5000, 0.5000, 0.0000], [0.0000, 0.0000, 0.5000], [0.0000, 0.5000, 0.0000], [0.5000, 0.0000, 0.0000], [0.5000, 0.5000, 0.5000], [0.2315, 0.2315, 0.2315], [0.2355, 0.7276, 0.7276], [0.2724, 0.2724, 0.7645], [0.2724, 0.7645, 0.2724], [0.7276, 0.2355, 0.7276], [0.7276, 0.7276, 0.2355], [0.7645, 0.2724, 0.2724], [0.7685, 0.7685, 0.7685]],
  "dos_at_fermi_per_ev_atom": 0.566,
  "final_energy_ev_per_atom": -4.4234
}

(7)
{
  "formula": "CsSmErTe3",
  "functional": "GGA-PBE",
  "state": "optimized geometry",
  "cell": [[9.7020, 0.0000, 0.0000], [0.0000, 5.0338, 0.0000], [-4.6475, 0.0000, 10.3846]],
  "species": ["Cs", "Cs", "Sm", "Sm", "Er", "Er", "Te", "Te", "Te", "Te", "Te", "Te"],
  "fractional_positions": [[0.0133, 0.2500, 0.2455], [0.9867, 0.7500, 0.7545], [0.4562, 0.2500, 0.1164], [0.5438, 0.7500, 0.8836], [0.4953, 0.2500, 0.6348], [0.5047, 0.7500, 0.3652], [0.2372, 0.7500, 0.1224], [0.3242, 0.2500, 0.8189], [0.3290, 0.7500, 0.5370], [0.6710, 0.2500, 0.4630], [0.6758, 0.7500, 0.1811], [0.7628, 0.2500, 0.8776]],
  "dos_at_fermi_per_ev_atom": 0.554,
  "final_energy_ev_per_atom": -4.5158
}

(8)
{
  "formula": "Cs2ErSnTe4",
  "functional": "GGA-PBE",
  "state": "optimized geometry",
  "cell": [[0.0000, 7.9998, 13.8652], [3.6171, 0.0000, 13.8652], [3.6171, 7.9998, 0.0000]],
  "species": ["Cs", "Cs", "Cs", "Cs", "Er", "Er", "Sn", "Sn", "Te", "Te", "Te", "Te", "Te", "Te", "Te", "Te"],
  "fractional_positions": [[0.0562, 0.0562, 0.6938], [0.3062, 0.3062, 0.9438], [0.6938, 0.6938, 0.0562], [0.9438, 0.9438, 0.3062], [0.1250, 0.1250, 0.1250], [0.8750, 0.8750, 0.8750], [0.3750, 0.3750, 0.3750], [0.6250, 0.6250, 0.6250], [0.0408, 0.3214, 0.4220], [0.2843, 0.5780, 0.6786], [0.3214, 0.0408, 0.7157], [0.4220, 0.7157, 0.0408], [0.5780, 0.2843, 0.9592], [0.6786, 0.9592, 0.2843], [0.7157, 0.4220, 0.3214], [0.9592, 0.6786, 0.5780]],
  "dos_at_fermi_per_ev_atom": 0.749,
  "final_energy_ev_per_atom": -3.7165
}

(9)
{
  "formula": "Cs3TbEr2Te6",
  "functional": "GGA-PBE",
  "state": "optimized geometry",
  "cell": [[3.9318, -6.8103, 0.0000], [3.9318, 6.8103, 0.0000], [-2.6206, 0.0000, 8.9166]],
  "species": ["Cs", "Cs", "Cs", "Tb", "Er", "Er", "Te", "Te", "Te", "Te", "Te", "Te"],
  "fractional_positions": [[0.0000, 0.0000, 0.0000], [0.3340, 0.6660, 0.0000], [0.6660, 0.3340, 0.0000], [0.5000, 0.5000, 0.5000], [0.1667, 0.8333, 0.5000], [0.8333, 0.1667, 0.5000], [0.1009, 0.4370, 0.3112], [0.2267, 0.2267, 0.6886], [0.4370, 0.1009, 0.3112], [0.5630, 0.8991, 0.6888], [0.7733, 0.7733, 0.3114], [0.8991, 0.5630, 0.6888]],
  "final_energy_ev_per_atom": -4.3079
}

(10)
{
  "formula": "Cs4TbEr3Te8",
  "functional": "GGA-PBE",
  "state": "optimized geometry",
  "cell": [[4.5368, 2.6193, 8.9145], [-4.5368, 2.6193, 8.9145], [0.0000, -5.2386, 8.9145]],
  "species": ["Cs", "Cs", "Cs", "Cs", "Tb", "Er", "Er", "Er", "Te", "Te", "Te", "Te", "Te", "Te", "Te", "Te"],
  "fractional_positions": [[0.0000, 0.0000, 0.0000], [0.0000, 0.5000, 0.5000], [0.5000, 0.0000, 0.5000], [0.5000, 0.5000, 0.0000], [0.5000, 0.5000, 0.5000], [0.0000, 0.0000, 0.5000], [0.0000, 0.5000, 0.0000], [0.5000, 0.0000, 0.0000], [0.2272, 0.7309, 0.7309], [0.2293, 0.2293, 0.2293], [0.2691, 0.2691, 0.7728], [0.2691, 0.7728, 0.2691], [0.7309, 0.2272, 0.7309], [0.7309, 0.7309, 0.2272], [0.7707, 0.7707, 0.7707], [0.7728, 0.2691, 0.2691]],
  "final_energy_ev_per_atom": -4.3044
}

(11)
{
  "formula": "Cs4Tb3ErTe8",
  "functional": "GGA-PBE",
  "state": "optimized geometry",
  "cell": [[4.5589, 2.6321, 8.9205], [-4.5589, 2.6321, 8.9205], [0.0000, -5.2642, 8.9205]],
  "species": ["Cs", "Cs", "Cs", "Cs", "Tb", "Tb", "Tb", "Er", "Te", "Te", "Te", "Te", "Te", "Te", "Te", "Te"],
  "fractional_positions": [[0.0000, 0.0000, 0.0000], [0.0000, 0.5000, 0.5000], [0.5000, 0.0000, 0.5000], [0.5000, 0.5000, 0.0000], [0.0000, 0.0000, 0.5000], [0.0000, 0.5000, 0.0000], [0.5000, 0.0000, 0.0000], [0.5000, 0.5000, 0.5000], [0.2302, 0.2302, 0.2302], [0.2324, 0.7285, 0.7285], [0.2715, 0.2715, 0.7676], [0.2715, 0.7676, 0.2715], [0.7285, 0.2324, 0.7285], [0.7285, 0.7285, 0.2324], [0.7676, 0.2715, 0.2715], [0.7698, 0.7698, 0.7698]],
  "final_energy_ev_per_atom": -4.3248
}

(12)
{
  "formula": "CsEr5Te8",
  "functional": "GGA-PBE",
  "state": "optimized geometry",
  "cell": [[11.2463, -2.1878, 0.0000], [11.2463, 2.1878, 0.0000], [-2.6440, 0.0000, 10.4916]],
  "species": ["Cs", "Er", "Er", "Er", "Er", "Er", "Te", "Te", "Te", "Te", "Te", "Te", "Te", "Te"],
  "fractional_positions": [[0.0000, 0.0000, 0.0000], [0.1560, 0.1560, 0.4705], [0.2047, 0.2047, 0.8443], [0.5000, 0.5000, 0.5000], [0.7953, 0.7953, 0.1557], [0.8440, 0.8440, 0.5295], [0.0759, 0.0759, 0.6617], [0.2649, 0.2649, 0.3444], [0.3350, 0.3350, 0.0026], [0.4164, 0.4164, 0.6857], [0.5836, 0.5836, 0.3143], [0.6650, 0.6650, 0.9974], [0.7351, 0.7351, 0.6556], [0.9241, 0.9241, 0.3383]],
  "final_energy_ev_per_atom": -4.8838
}

(13)
{
  "formula": "CsErTe",
  "functional": "GGA-PBE",
  "state": "optimized geometry",
  "cell": [[-2.2520, 3.1641, 10.0329], [2.2520, -3.1641, 10.0329], [2.2520, 3.1641, -10.0329]],
  "species": ["Cs", "Cs", "Er", "Er", "Te", "Te"],
  "fractional_positions": [[0.1733, 0.1733, 0.0000], [0.8267, 0.8267, 0.0000], [0.2610, 0.5000, 0.7610], [0.7390, 0.5000, 0.2390], [0.3704, 0.3704, 0.0000], [0.6296, 0.6296, 0.0000]],
  "dos_at_fermi_per_ev_atom": 0.709,
  "final_energy_ev_per_atom": -3.3239
}

(14)
{
  "formula": "CsErTe2",
  "functional": "GGA-PBE",
  "state": "optimized geometry",
  "cell": [[2.2559, 1.3025, 8.9852], [-2.2559, 1.3025, 8.9852], [0.0000, -2.6049, 8.9852]],
  "species": ["Cs", "Er", "Te", "Te"],
  "fractional_positions": [[0.0000, 0.0000, 0.0000], [0.8317, 0.8317, 0.8317], [0.2278, 0.2278, 0.2278], [0.4358, 0.4358, 0.4358]],
  "final_energy_ev_per_atom": -4.2860
}

(15)
{
  "formula": "Cs2ErTe6",
  "functional": "GGA-PBE",
  "state": "optimized geometry",
  "cell": [[8.4691, -4.7476, 0.0000], [8.4691, 4.7476, 0.0000], [-1.0553, 0.0000, 4.9902]],
  "species": ["Cs", "Cs", "Er", "Te", "Te", "Te", "Te", "Te", "Te"],
  "fractional_positions": [[0.1770, 0.1770, 0.4378], [0.8230, 0.8230, 0.5622], [0.5000, 0.5000, 0.0000], [0.1786, 0.5126, 0.0898], [0.3025, 0.6975, 0.5000], [0.4874, 0.8214, 0.9102], [0.5126, 0.1786, 0.0898], [0.6975, 0.3025, 0.5000], [0.8214, 0.4874, 0.9102]],
  "dos_at_fermi_per_ev_atom": 0.520,
  "final_energy_ev_per_atom": -3.4899
}

(16)
{
  "formula": "CsErTe4",
  "functional": "GGA-PBE",
  "state": "optimized geometry",
  "cell": [[6.8579, 0.0000, 0.0000], [0.0000, 6.8579, 0.0000], [0.0000, 0.0000, 9.5910]],
  "species": ["Cs", "Cs", "Er", "Er", "Te", "Te", "Te", "Te", "Te", "Te", "Te", "Te"],
  "fractional_positions": [[0.2500, 0.2500, 0.0000], [0.7500, 0.7500, 0.0000], [0.2500, 0.2500, 0.5000], [0.7500, 0.7500, 0.5000], [0.1034, 0.6034, 0.3108], [0.1034, 0.8966, 0.6892], [0.3966, 0.6034, 0.6892], [0.3966, 0.8966, 0.3108], [0.6034, 0.1034, 0.6892], [0.6034, 0.3966, 0.3108], [0.8966, 0.1034, 0.3108], [0.8966, 0.3966, 0.6892]],
  "dos_at_fermi_per_ev_atom": 0.125,
  "final_energy_ev_per_atom": -3.9240
}

(17)
{
  "formula": "Cs2Er3Te6",
  "functional": "GGA-PBE",
  "state": "optimized geometry",
  "cell": [[3.7663, -6.5232, 0.0000], [3.7663, 6.5232, 0.0000], [-2.5167, 0.0000, 9.3364]],
  "species": ["Cs", "Cs", "Er", "Er", "Er", "Te", "Te", "Te", "Te", "Te", "Te"],
  "fractional_positions": [[0.1665, 0.8335, 0.0000], [0.8335, 0.1665, 0.0000], [0.0000, 0.0000, 0.5000], [0.3323, 0.6677, 0.5000], [0.6677, 0.3323, 0.5000], [0.0660, 0.3967, 0.6898], [0.2729, 0.2729, 0.3113], [0.3967, 0.0660, 0.6898], [0.6033, 0.9340, 0.3102], [0.7271, 0.7271, 0.6887], [0.9340, 0.6033, 0.3102]],
  "dos_at_fermi_per_ev_atom": 0.479,
  "final_energy_ev_per_atom": -4.4066
}

(18)
{
  "formula": "CsErTe3",
  "functional": "GGA-PBE",
  "state": "optimized geometry",
  "cell": [[16.9855, 0.0000, 0.0000], [0.0000, 6.7348, 0.0000], [0.0000, 0.0000, 7.1077]],
  "species": ["Cs", "Cs", "Cs", "Cs", "Er", "Er", "Er", "Er", "Te", "Te", "Te", "Te", "Te", "Te", "Te", "Te", "Te", "Te", "Te", "Te"],
  "fractional_positions": [[0.1885, 0.0299, 0.2500], [0.1885, 0.4701, 0.7500], [0.8115, 0.5299, 0.2500], [0.8115, 0.9701, 0.7500], [0.4231, 0.7500, 0.0000], [0.4231, 0.7500, 0.5000], [0.5769, 0.2500, 0.0000], [0.5769, 0.2500, 0.5000], [0.0044, 0.7500, 0.0000], [0.0044, 0.7500, 0.5000], [0.3073, 0.5475, 0.2500], [0.3073, 0.9525, 0.7500], [0.4367, 0.1106, 0.2500], [0.4367, 0.3894, 0.7500], [0.5633, 0.6106, 0.2500], [0.5633, 0.8894, 0.7500], [0.6927, 0.0475, 0.2500], [0.6927, 0.4525, 0.7500], [0.9956, 0.2500, 0.0000], [0.9956, 0.2500, 0.5000]],
  "dos_at_fermi_per_ev_atom": 0.628,
  "final_energy_ev_per_atom": -3.9405
}

(19)
{
  "formula": "Cs3ErTh3Te8",
  "functional": "GGA-PBE",
  "state": "optimized geometry",
  "cell": [[4.4854, 2.5896, 9.2740], [-4.4854, 2.5896, 9.2740], [0.0000, -5.1793, 9.2740]],
  "species": ["Cs", "Cs", "Cs", "Er", "Th", "Th", "Th", "Te", "Te", "Te", "Te", "Te", "Te", "Te", "Te"],
  "fractional_positions": [[0.0000, 0.5000, 0.5000], [0.5000, 0.0000, 0.5000], [0.5000, 0.5000, 0.0000], [0.5000, 0.5000, 0.5000], [0.0000, 0.0000, 0.5000], [0.0000, 0.5000, 0.0000], [0.5000, 0.0000, 0.0000], [0.2337, 0.2337, 0.2337], [0.2364, 0.7282, 0.7282], [0.2718, 0.2718, 0.7636], [0.2718, 0.7636, 0.2718], [0.7282, 0.2364, 0.7282], [0.7282, 0.7282, 0.2364], [0.7636, 0.2718, 0.2718], [0.7663, 0.7663, 0.7663]],
  "dos_at_fermi_per_ev_atom": 0.591,
  "final_energy_ev_per_atom": -4.8776
}

(20)
{
  "formula": "Cs4Er3ThTe8",
  "functional": "GGA-PBE",
  "state": "optimized geometry",
  "cell": [[4.5282, 2.6144, 8.9616], [-4.5282, 2.6144, 8.9616], [0.0000, -5.2287, 8.9616]],
  "species": ["Cs", "Cs", "Cs", "Cs", "Er", "Er", "Er", "Th", "Te", "Te", "Te", "Te", "Te", "Te", "Te", "Te"],
  "fractional_positions": [[0.0000, 0.0000, 0.0000], [0.0000, 0.5000, 0.5000], [0.5000, 0.0000, 0.5000], [0.5000, 0.5000, 0.0000], [0.0000, 0.0000, 0.5000], [0.0000, 0.5000, 0.0000], [0.5000, 0.0000, 0.0000], [0.5000, 0.5000, 0.5000], [0.2254, 0.7333, 0.7333], [0.2292, 0.2292, 0.2292], [0.2667, 0.2667, 0.7746], [0.2667, 0.7746, 0.2667], [0.7333, 0.2254, 0.7333], [0.7333, 0.7333, 0.2254], [0.7708, 0.7708, 0.7708], [0.7746, 0.2667, 0.2667]],
  "dos_at_fermi_per_ev_atom": 0.329,
  "final_energy_ev_per_atom": -4.4172
}

| no. | spin magnetization (μB per formula unit) |
| --- | --- |
| 1 | 2.98 |
| 2 | 0.00 |
| 3 | 0.00 |
| 4 | 0.00 |
| 5 | 0.00 |
| 6 | 0.00 |
| 7 | 0.00 |
| 8 | 0.00 |
| 9 | 0.00 |
| 10 | 0.00 |
| 11 | 0.00 |
| 12 | 0.00 |
| 13 | 0.17 |
| 14 | 0.00 |
| 15 | 0.00 |
| 16 | 0.00 |
| 17 | 0.00 |
| 18 | 0.00 |
| 19 | 0.00 |
| 20 | 0.00 |